Record 1
! CeEu2VO6 | Alexandria | GGA+U | optimized geometry; values from VASP
&SYSTEM
  ibrav = 0, nat = 10, ntyp = 4
/
ATOMIC_SPECIES
Eu 151.96 Eu.upf
O 16.00 O.upf
V 50.94 V.upf
Ce 140.12 Ce.upf
ATOMIC_POSITIONS crystal
Eu 0.250 0.250 0.250
O 0.735 0.735 0.265
Eu 0.750 0.750 0.750
O 0.735 0.265 0.265
O 0.265 0.265 0.735
O 0.265 0.735 0.735
V 0.500 0.500 0.500
O 0.265 0.735 0.265
Ce 0.000 0.000 0.000
O 0.735 0.265 0.735
CELL_PARAMETERS angstrom
-4.864 -2.304 2.341
-5.275 1.690 -1.939
-3.298 -3.704 -3.139
! SG = Fm-3m

***

Record 2
! CeEu2WO6 | Alexandria | GGA+U | optimized geometry; values from VASP
&SYSTEM
  ibrav = 0, nat = 10, ntyp = 4
/
ATOMIC_SPECIES
W 183.84 W.upf
O 16.00 O.upf
Eu 151.96 Eu.upf
Ce 140.12 Ce.upf
ATOMIC_POSITIONS crystal
W 0.500 0.500 0.500
O 0.738 0.262 0.262
O 0.262 0.738 0.262
Eu 0.750 0.750 0.750
O 0.738 0.262 0.738
O 0.738 0.738 0.262
O 0.262 0.262 0.738
O 0.262 0.738 0.738
Eu 0.250 0.250 0.250
Ce 0.000 0.000 0.000
CELL_PARAMETERS angstrom
2.001 0.717 5.629
3.696 4.560 1.321
-1.975 4.605 3.331
! SG = Fm-3m

***

| no. | calculated total energy (eV per cell) | ρ (g/cm³) |
| --- | --- | --- |
| 1 | -90.63 | 6.86 |
| 2 | -89.75 | 7.80 |